No. 1
CdTcSn2Se: relaxed, PBE-GGA.

Cell lengths 5.3278, 5.3278, 4.7546 Å; angles 90.00, 90.00, 90.00 degrees
Last column: nearest neighbours and their distance in Å.
Space group P4/mmm (No. 123)
Symmetry-distinct sites (fractional):
1 Cd 0.0000 0.0000 0.0000 x1  8 Sn 3.57, 4 Se 3.77
2 Tc 0.5000 0.5000 0.5000 x1  2 Se 2.38
3 Sn 0.0000 0.5000 0.5000 x2  2 Tc 2.66
4 Se 0.5000 0.5000 0.0000 x1  2 Tc 2.38

Values from the calculation:
**Formation energy from raw total energies**: 5.46 kcal/mol of atoms
**Density of states at the Fermi level**: 5.4 states/eV/cell
**Volume**: 27.0 Å³ per atom
**Energy**: -4.3175 eV per atom
**M_tot**: 0.0 μB/f.u.



No. 2
Pm3Pr7Ho2: relaxed, PBE-GGA.

Cell lengths 6.5652, 3.6021, 17.8962 Å; angles 90.00, 95.95, 90.00 degrees
Last column: nearest neighbours and their distance in Å.
Space group P2/m (No. 10)
Symmetry-distinct sites (fractional):
1 Pm 0.0000 0.0000 0.0000 x1  2 Pm 3.60, 10 Pr 3.70-3.74
2 Pm 0.0433 0.5000 0.6609 x2  2 Pm 3.60, 7 Pr 3.66-3.81, 4 Ho 3.69-3.81
3 Pr 0.2283 0.5000 0.1691 x2  2 Ho 3.57, 7 Pr 3.60-3.77, 3 Pm 3.68-3.70
4 Pr 0.2439 0.0000 0.5059 x2  2 Pr 3.19-3.39, 2 Ho 3.40-3.53
5 Pr 0.2750 0.0000 0.8288 x2  1 Ho 3.55, 8 Pr 3.60-3.77, 3 Pm 3.69-3.71
6 Pr 0.5000 0.5000 0.0000 x1  8 Pr 3.60-3.73, 4 Pm 3.74
7 Ho 0.4440 0.0000 0.3304 x2  5 Pr 3.40-3.57, 2 Ho 3.60, 2 Pm 3.69

Values from the calculation:
**Density of states at the Fermi level**: 17.9 states/eV/cell
**Volume**: 35.1 Å³ per atom
**Energy**: -4.6659 eV per atom
**Formation enthalpy at 0 K**: 0.0728 eV/atom
**M_tot**: 0.0 μB/f.u.



No. 3
KBeIr3: relaxed, PBE-GGA.

Cell lengths 4.6567, 4.6567, 4.6567 Å; angles 90.00, 90.00, 90.00 degrees
Last column: nearest neighbours and their distance in Å.
Space group Pm-3m (No. 221)
Symmetry-distinct sites (fractional):
1 K 0.0000 0.0000 0.0000 x1  6 Ir 2.33
2 Be 0.5000 0.5000 0.5000 x1  12 Ir 3.29
3 Ir 0.0000 0.0000 0.5000 x3  2 K 2.33

Values from the calculation:
**Density of states at the Fermi level**: 6.3 states/eV/cell
**Volume**: 20.2 Å³ per atom
**Excess energy over the best structure of this formula in the dataset**: 2553 meV/atom
**Energy**: -2.9347 eV per atom
**Formation enthalpy at 0 K**: 3.3466 eV/atom
**M_tot**: 1.0 μB/f.u.



No. 4
GdDyAlRu: relaxed, PBE-GGA.

Cell lengths 7.0361, 7.0361, 7.0361 Å; angles 90.00, 90.00, 90.00 degrees
Last column: nearest neighbours and their distance in Å.
Space group F-43m (No. 216)
Symmetry-distinct sites (fractional):
1 Gd 0.0000 0.0000 0.0000 x4  4 Al 3.05, 4 Ru 3.05
2 Dy 0.0000 0.0000 0.5000 x4  4 Ru 3.05, 4 Al 3.05
3 Al 0.2500 0.2500 0.2500 x4  4 Gd 3.05, 4 Dy 3.05
4 Ru 0.2500 0.2500 0.7500 x4  4 Gd 3.05, 4 Dy 3.05

Values from the calculation:
**Density of states at the Fermi level**: 10.2 states/eV/cell
**Volume**: 21.8 Å³ per atom
**Energy**: -8.2553 eV per atom
**Formation enthalpy at 0 K**: -0.3300 eV/atom
**M_tot**: 7.0 μB/f.u.



Q: Which of these has the highest volume?
A: Pm3Pr7Ho2



Q: Look up the M_tot of the second one.
A: 0.0 μB/f.u.



What did the first record say?
CdTcSn2Se: relaxed, PBE-GGA.

Cell lengths 5.3278, 5.3278, 4.7546 Å; angles 90.00, 90.00, 90.00 degrees
Last column: nearest neighbours and their distance in Å.
Space group P4/mmm (No. 123)
Symmetry-distinct sites (fractional):
1 Cd 0.0000 0.0000 0.0000 x1  8 Sn 3.57, 4 Se 3.77
2 Tc 0.5000 0.5000 0.5000 x1  2 Se 2.38
3 Sn 0.0000 0.5000 0.5000 x2  2 Tc 2.66
4 Se 0.5000 0.5000 0.0000 x1  2 Tc 2.38

Values from the calculation:
**Formation energy from raw total energies**: 5.46 kcal/mol of atoms
**Density of states at the Fermi level**: 5.4 states/eV/cell
**Volume**: 27.0 Å³ per atom
**Energy**: -4.3175 eV per atom
**M_tot**: 0.0 μB/f.u.



Please write out number 1 again, unchanged.
CdTcSn2Se: relaxed, PBE-GGA.

Cell lengths 5.3278, 5.3278, 4.7546 Å; angles 90.00, 90.00, 90.00 degrees
Last column: nearest neighbours and their distance in Å.
Space group P4/mmm (No. 123)
Symmetry-distinct sites (fractional):
1 Cd 0.0000 0.0000 0.0000 x1  8 Sn 3.57, 4 Se 3.77
2 Tc 0.5000 0.5000 0.5000 x1  2 Se 2.38
3 Sn 0.0000 0.5000 0.5000 x2  2 Tc 2.66
4 Se 0.5000 0.5000 0.0000 x1  2 Tc 2.38

Values from the calculation:
**Formation energy from raw total energies**: 5.46 kcal/mol of atoms
**Density of states at the Fermi level**: 5.4 states/eV/cell
**Volume**: 27.0 Å³ per atom
**Energy**: -4.3175 eV per atom
**M_tot**: 0.0 μB/f.u.